A plane-wave DFT calculation with GGA-PBE was carried out for BaSrSi2 after structural relaxation.

Cell: 5.110 5.110 8.959 Å, 90.00 90.00 90.00°
Space group I4/mmm (No. 139)
One atom of each set of equivalent atoms:
Ba 0.000 0.000 0.000 [2 per cell]
Sr 0.000 0.000 0.500 [2 per cell]
Si 0.000 0.500 0.250 [4 per cell]

**Distance to the lowest polymorph of the same formula**: 381 meV/atom
**Formation energy without anion corrections**: -57.0 meV/atom
**Size of the total moment**: 0.000 μB/atom

=====

A plane-wave DFT calculation with GGA-PBE was carried out for BaSr2Fe after structural relaxation.

Cell: 5.431 5.431 10.946 Å, 90.00 90.00 90.00°
Space group I-4m2 (No. 119)
One atom of each set of equivalent atoms:
Ba 0.000 0.000 0.000 [2 per cell]
Sr 0.000 0.000 0.500 [2 per cell]
Sr 0.000 0.500 0.250 [2 per cell]
Fe 0.000 0.500 0.750 [2 per cell]

**Distance to the lowest polymorph of the same formula**: 214 meV/atom
**Formation enthalpy at 0 K**: 0.640 eV/atom
**Size of the total moment**: 0.534 μB/atom

=====

A plane-wave DFT calculation with GGA-PBE was carried out for CoAgMo after structural relaxation.

Cell: 2.758 2.758 11.601 Å, 90.00 90.00 90.00°
Space group I4mm (No. 107)
One atom of each set of equivalent atoms:
Co 0.000 0.000 0.000 [2 per cell]
Ag 0.000 0.000 0.670 [2 per cell]
Mo 0.000 0.000 0.363 [2 per cell]

**Distance to the lowest polymorph of the same formula**: 0 meV/atom
**Formation enthalpy at 0 K**: 0.335 eV/atom
**Size of the total moment**: 0.280 μB/atom